No. 1
Computed, not measured: an optimized crystal structure of Ca2BeRh at the PBEsol level of DFT.

space-group type: R3m, No. 160
formation enthalpy at 0 K: -0.31 eV per atom

abc: 3.8816 3.8816 7.7274
angles: 75.45 75.45 60.00
Closest atoms and distances in Å follow each position.
Sites, in units of the cell vectors:
Rh: 0.5418 0.5418 0.3747  3 Be 2.24
Ca: 0.7876 0.7876 0.6372  3 Be 2.96, 3 Rh 2.96
Ca: 0.9623 0.9623 0.1130  3 Rh 2.96, 3 Be 2.96
Be: 0.2083 0.2083 0.3751  3 Rh 2.24

---

No. 2
Computed, not measured: an optimized crystal structure of Ca2BeRh at the PBEsol level of DFT.

space-group type: F-43m, No. 216
formation enthalpy at 0 K: 0.17 eV per atom

abc: 4.7009 4.7009 4.7009
angles: 60.00 60.00 60.00
Closest atoms and distances in Å follow each position.
Sites, in units of the cell vectors:
Ca: 0.0000 0.0000 0.0000  4 Ca 2.88, 4 Rh 2.88
Be: 0.5000 0.5000 0.5000  4 Ca 2.88, 4 Rh 2.88
Ca: 0.2500 0.2500 0.2500  4 Be 2.88, 4 Ca 2.88
Rh: 0.7500 0.7500 0.7500  4 Ca 2.88, 4 Be 2.88

---

No. 3
Computed, not measured: an optimized crystal structure of CaBe2Rh at the PBEsol level of DFT.

space-group type: Pm, No. 6
energy above the most stable polymorph in this dataset: 205 meV per atom
formation enthalpy at 0 K: -0.09 eV per atom

abc: 2.9879 3.5208 5.8901
angles: 90.00 104.75 90.00
Closest atoms and distances in Å follow each position.
Sites, in units of the cell vectors:
Rh: 0.2516 0.5000 0.8789  6 Be 2.23-2.37
Be: 0.7934 0.0000 0.9660  2 Be 2.11, 2 Rh 2.36
Ca: 0.5562 0.0000 0.4852  5 Be 2.74-2.93, 2 Ca 2.99
Be: 0.8988 0.5000 0.1699  2 Be 2.11, 2 Rh 2.23

---

No. 4
Computed, not measured: an optimized crystal structure of CaBeRu3 at the PBEsol level of DFT.

space-group type: Pm-3m, No. 221
energy above the most stable polymorph in this dataset: 2116 meV per atom
formation enthalpy at 0 K: 2.67 eV per atom

abc: 4.4940 4.4940 4.4940
angles: 90.00 90.00 90.00
Closest atoms and distances in Å follow each position.
Sites, in units of the cell vectors:
Ru: 0.0000 0.0000 0.5000  2 Ca 2.25
Ru: 0.0000 0.5000 0.0000  2 Ca 2.25
Ca: 0.0000 0.0000 0.0000  6 Ru 2.25
Ru: 0.5000 0.0000 0.0000  2 Ca 2.25
Be: 0.5000 0.5000 0.5000  12 Ru 3.18

---

No. 5
Computed, not measured: an optimized crystal structure of CaBe3Ru at the PBEsol level of DFT.

space-group type: Pm-3m, No. 221
formation enthalpy at 0 K: 0.10 eV per atom

abc: 4.2603 4.2603 4.2603
angles: 90.00 90.00 90.00
Closest atoms and distances in Å follow each position.
Sites, in units of the cell vectors:
Ca: 0.5000 0.5000 0.5000  12 Be 3.01
Be: 0.0000 0.0000 0.5000  2 Ru 2.13
Be: 0.0000 0.5000 0.0000  2 Ru 2.13
Ru: 0.0000 0.0000 0.0000  6 Be 2.13
Be: 0.5000 0.0000 0.0000  2 Ru 2.13

---

No. 6
Computed, not measured: an optimized crystal structure of CaBeRu at the PBEsol level of DFT.

space-group type: P-6m2, No. 187
formation enthalpy at 0 K: 0.23 eV per atom

abc: 3.8490 3.8490 4.0188
angles: 90.00 90.00 120.00
Closest atoms and distances in Å follow each position.
Sites, in units of the cell vectors:
Ca: 0.3333 0.6667 0.0000  6 Ru 3.00, 6 Be 3.00
Ru: 0.6667 0.3333 0.5000  3 Be 2.22
Be: 0.0000 0.0000 0.5000  3 Ru 2.22

---

Number 1: spin magnetization 0.00 μB per formula unit. Number 2: spin magnetization 0.00 μB per formula unit. Number 3: spin magnetization 0.00 μB per formula unit. Number 4: spin magnetization 1.54 μB per formula unit. Number 5: spin magnetization 0.00 μB per formula unit. Number 6: spin magnetization 0.00 μB per formula unit.